A plane-wave DFT calculation with PBE-GGA was carried out for a geometry-optimized SrPrEuSbO6 structure.

Properties
The distance to the lowest polymorph of the same formula is 105 kJ/mol of formula units. For the total energy, the calculation gives -0.5534 Ry per atom. Its density of states at the Fermi level is 1.8 states/eV/cell. The raw formation energy comes out at -2469 meV per atom.

Cell lengths 8.5957, 8.5957, 8.5957 Å; angles 90.00, 90.00, 90.00 degrees
With the nearest neighbours (Å) after each atom.
Space group F-43m (No. 216)
One atom of each set of equivalent atoms:
Sr 0.0000 0.0000 0.0000 [4 per cell]  12 O 3.04
Pr 0.2500 0.2500 0.7500 [4 per cell]  6 O 2.30
Eu 0.0000 0.0000 0.5000 [4 per cell]  12 O 3.04
Sb 0.2500 0.2500 0.2500 [4 per cell]  6 O 1.99
O 0.0180 0.2500 0.2500 [24 per cell]  1 Sb 1.99